Entry 1:
Material: Hf2TiAl2
Method: DFT, GGA-PBE
State: relaxed

Calculated values
For the density, the calculation gives 7.94 g cm⁻³. As for the spin magnetization: 1.2 μB/f.u. The calculation puts the energy relative to the elements at -0.253 eV/atom. The value obtained for the offset from the most stable computed form is 0.0 meV per atom.

a b c (Å): 7.1550 7.1550 3.7488
angles (deg): 90.00 90.00 90.00
Space group P4/mbm (No. 127)
Symmetry-distinct sites (fractional):
Hf (0.1742, 0.3258, 0.0000) x4
Ti (0.0000, 0.0000, 0.5000) x2
Al (0.1265, 0.6265, 0.5000) x4

---

Entry 2:
Material: Zn4TcNi15
Method: DFT, GGA-PBE
State: relaxed

Calculated values
For the density, the calculation gives 8.95 g cm⁻³. As for the spin magnetization: 4.3 μB/f.u. The calculation puts the energy relative to the elements at -0.092 eV/atom.

a b c (Å): 3.5806 3.5806 17.9416
angles (deg): 90.00 90.00 90.00
Space group P4/mmm (No. 123)
Symmetry-distinct sites (fractional):
Zn (0.0000, 0.0000, 0.0996) x2
Zn (0.0000, 0.0000, 0.2980) x2
Tc (0.0000, 0.0000, 0.5000) x1
Ni (0.0000, 0.5000, 0.0000) x2
Ni (0.0000, 0.5000, 0.1992) x4
Ni (0.0000, 0.5000, 0.4009) x4
Ni (0.5000, 0.5000, 0.0996) x2
Ni (0.5000, 0.5000, 0.2995) x2
Ni (0.5000, 0.5000, 0.5000) x1

---

Entry 3:
Material: TeSeCl
Method: DFT, GGA-PBE
State: relaxed

Calculated values
For the density, the calculation gives 4.01 g cm⁻³. As for the spin magnetization: 0.0 μB/f.u. The value obtained for the raw formation energy is -0.19 eV per atom. The value obtained for the offset from the most stable computed form is 60.8 meV per atom.

a b c (Å): 14.3187 3.8829 8.3507
angles (deg): 90.00 120.33 90.00
Space group Cm (No. 8)
Symmetry-distinct sites (fractional):
Te (0.0000, 0.0000, 0.0000) x2
Te (0.2278, 0.0000, 0.3447) x2
Se (0.0034, 0.5000, 0.2336) x2
Se (0.3205, 0.5000, 0.2622) x2
Cl (0.0355, 0.5000, 0.8030) x2
Cl (0.2992, 0.5000, 0.7822) x2